Compound: MnSi
Source: the Alexandria database
Functional: PBE
Structure: optimized geometry

Cell: 6.6941 6.6941 6.6941 Å, 90.00 90.00 90.00°
Fractional coordinates of all 12 atoms:
Mn: 0.0000 0.2500 0.5000
Mn: 0.0000 0.7500 0.5000
Mn: 0.2500 0.5000 0.0000
Mn: 0.5000 0.0000 0.2500
Mn: 0.5000 0.0000 0.7500
Mn: 0.7500 0.5000 0.0000
Si: 0.0000 0.5000 0.2500
Si: 0.0000 0.5000 0.7500
Si: 0.2500 0.0000 0.5000
Si: 0.5000 0.2500 0.0000
Si: 0.5000 0.7500 0.0000
Si: 0.7500 0.0000 0.5000

symmetry: Pm-3n
uncorrected formation energy: 0.78 eV/atom
VASP energy: -78.2 eV/cell